## Tc2OsRh (PBE)

Data for an optimized crystal structure of Tc2OsRh.

The structure in CIF format:
```
data_Tc2OsRh
_space_group_name_H-M_alt 'P 1'
_space_group_IT_number 1
_space_group_name_Hall 'P 1'
_cell_length_a 3.875
_cell_length_b 3.875
_cell_length_c 7.651
_cell_angle_alpha 90.00
_cell_angle_beta 90.00
_cell_angle_gamma 90.00
loop_
_atom_site_label
_atom_site_fract_x
_atom_site_fract_y
_atom_site_fract_z
Tc1 0.000 0.500 0.250
Tc2 0.000 0.500 0.750
Tc3 0.500 0.000 0.250
Tc4 0.500 0.000 0.750
Os1 0.000 0.000 0.000
Os2 0.500 0.500 0.500
Rh1 0.000 0.000 0.500
Rh2 0.500 0.500 0.000
```

SG: No. 139
Spin magnetization in μB per formula unit: 0.00
Energy of formation in eV/f.u.: -0.051
Energy in eV for the cell shown: -78.73
Relative energy among the computed polymorphs in meV/atom: 116



## TcOsRh4 (PBE)

Data for an optimized crystal structure of TcOsRh4.

The structure in CIF format:
```
data_TcOsRh4
_space_group_name_H-M_alt 'P 1'
_space_group_IT_number 1
_space_group_name_Hall 'P 1'
_cell_length_a 4.301
_cell_length_b 7.545
_cell_length_c 5.338
_cell_angle_alpha 90.00
_cell_angle_beta 90.00
_cell_angle_gamma 90.00
loop_
_atom_site_label
_atom_site_fract_x
_atom_site_fract_y
_atom_site_fract_z
Tc1 0.000 0.000 0.000
Tc2 0.500 0.500 0.000
Os1 0.000 0.000 0.500
Os2 0.500 0.500 0.500
Rh1 0.000 0.335 0.252
Rh2 0.000 0.335 0.748
Rh3 0.000 0.665 0.252
Rh4 0.000 0.665 0.748
Rh5 0.500 0.165 0.252
Rh6 0.500 0.165 0.748
Rh7 0.500 0.835 0.252
Rh8 0.500 0.835 0.748
```

SG: No. 65
Spin magnetization in μB per formula unit: 0.00
Energy of formation in eV/f.u.: 1.121
Energy in eV for the cell shown: -99.76
Relative energy among the computed polymorphs in meV/atom: 238



## Tc2Os2Rh (PBE)

Data for an optimized crystal structure of Tc2Os2Rh.

The structure in CIF format:
```
data_Tc2Os2Rh
_space_group_name_H-M_alt 'P 1'
_space_group_IT_number 1
_space_group_name_Hall 'P 1'
_cell_length_a 7.425
_cell_length_b 7.425
_cell_length_c 2.765
_cell_angle_alpha 90.00
_cell_angle_beta 90.00
_cell_angle_gamma 90.00
loop_
_atom_site_label
_atom_site_fract_x
_atom_site_fract_y
_atom_site_fract_z
Tc1 0.126 0.374 0.000
Tc2 0.374 0.874 0.000
Tc3 0.626 0.126 0.000
Tc4 0.874 0.626 0.000
Os1 0.169 0.669 0.500
Os2 0.331 0.169 0.500
Os3 0.669 0.831 0.500
Os4 0.831 0.331 0.500
Rh1 0.000 0.000 0.000
Rh2 0.500 0.500 0.000
```

SG: No. 127
Spin magnetization in μB per formula unit: 0.00
Energy of formation in eV/f.u.: 1.329
Energy in eV for the cell shown: -98.43
Relative energy among the computed polymorphs in meV/atom: 59



## TcOs2Rh (PBE)

Data for an optimized crystal structure of TcOs2Rh.

The structure in CIF format:
```
data_TcOs2Rh
_space_group_name_H-M_alt 'P 1'
_space_group_IT_number 1
_space_group_name_Hall 'P 1'
_cell_length_a 3.857
_cell_length_b 3.884
_cell_length_c 7.645
_cell_angle_alpha 90.00
_cell_angle_beta 90.00
_cell_angle_gamma 90.00
loop_
_atom_site_label
_atom_site_fract_x
_atom_site_fract_y
_atom_site_fract_z
Tc1 0.250 0.000 0.126
Tc2 0.750 0.000 0.874
Os1 0.250 0.000 0.625
Os2 0.250 0.500 0.376
Os3 0.750 0.000 0.375
Os4 0.750 0.500 0.624
Rh1 0.250 0.500 0.876
Rh2 0.750 0.500 0.124
```

SG: No. 51
Spin magnetization in μB per formula unit: 0.00
Energy of formation in eV/f.u.: 0.151
Energy in eV for the cell shown: -80.05
Relative energy among the computed polymorphs in meV/atom: 0



## TcOs2Rh (PBE)

Data for an optimized crystal structure of TcOs2Rh.

The structure in CIF format:
```
data_TcOs2Rh
_space_group_name_H-M_alt 'P 1'
_space_group_IT_number 1
_space_group_name_Hall 'P 1'
_cell_length_a 3.874
_cell_length_b 3.874
_cell_length_c 7.633
_cell_angle_alpha 90.00
_cell_angle_beta 90.00
_cell_angle_gamma 90.00
loop_
_atom_site_label
_atom_site_fract_x
_atom_site_fract_y
_atom_site_fract_z
Tc1 0.000 0.000 0.000
Tc2 0.500 0.500 0.500
Os1 0.000 0.500 0.250
Os2 0.000 0.500 0.750
Os3 0.500 0.000 0.250
Os4 0.500 0.000 0.750
Rh1 0.000 0.000 0.500
Rh2 0.500 0.500 0.000
```

SG: No. 139
Spin magnetization in μB per formula unit: 0.00
Energy of formation in eV/f.u.: 0.197
Energy in eV for the cell shown: -79.96
Relative energy among the computed polymorphs in meV/atom: 12



## Tc6Os3Rh (PBE)

Data for an optimized crystal structure of Tc6Os3Rh.

The structure in CIF format:
```
data_Tc6Os3Rh
_space_group_name_H-M_alt 'P 1'
_space_group_IT_number 1
_space_group_name_Hall 'P 1'
_cell_length_a 5.012
_cell_length_b 7.798
_cell_length_c 9.490
_cell_angle_alpha 90.00
_cell_angle_beta 121.78
_cell_angle_gamma 90.00
loop_
_atom_site_label
_atom_site_fract_x
_atom_site_fract_y
_atom_site_fract_z
Tc1 0.015 0.125 0.253
Tc2 0.015 0.375 0.753
Tc3 0.057 0.659 0.554
Tc4 0.057 0.841 0.054
Tc5 0.443 0.659 0.940
Tc6 0.443 0.841 0.440
Tc7 0.557 0.159 0.560
Tc8 0.557 0.341 0.060
Tc9 0.943 0.159 0.946
Tc10 0.943 0.341 0.446
Tc11 0.985 0.625 0.247
Tc12 0.985 0.875 0.747
Os1 0.000 0.000 0.500
Os2 0.000 0.500 0.000
Os3 0.481 0.123 0.253
Os4 0.481 0.377 0.753
Os5 0.519 0.623 0.247
Os6 0.519 0.877 0.747
Rh1 0.500 0.000 0.000
Rh2 0.500 0.500 0.500
```

SG: No. 14
Spin magnetization in μB per formula unit: 0.00
Energy of formation in eV/f.u.: 4.636
Energy in eV for the cell shown: -197.20



## Tc3Os2Rh2 (PBE)

Data for an optimized crystal structure of Tc3Os2Rh2.

The structure in CIF format:
```
data_Tc3Os2Rh2
_space_group_name_H-M_alt 'P 1'
_space_group_IT_number 1
_space_group_name_Hall 'P 1'
_cell_length_a 2.716
_cell_length_b 6.133
_cell_length_c 6.703
_cell_angle_alpha 68.36
_cell_angle_beta 89.91
_cell_angle_gamma 77.26
loop_
_atom_site_label
_atom_site_fract_x
_atom_site_fract_y
_atom_site_fract_z
Tc1 0.000 0.000 0.000
Tc2 0.285 0.431 0.861
Tc3 0.715 0.569 0.139
Os1 0.426 0.148 0.277
Os2 0.574 0.852 0.723
Rh1 0.140 0.720 0.428
Rh2 0.860 0.280 0.572
```

SG: No. 2
Spin magnetization in μB per formula unit: 0.00
Energy of formation in eV/f.u.: 0.112
Energy in eV for the cell shown: -68.15



## TcOsRh4 (PBE)

Data for an optimized crystal structure of TcOsRh4.

The structure in CIF format:
```
data_TcOsRh4
_space_group_name_H-M_alt 'P 1'
_space_group_IT_number 1
_space_group_name_Hall 'P 1'
_cell_length_a 2.722
_cell_length_b 2.722
_cell_length_c 11.545
_cell_angle_alpha 90.00
_cell_angle_beta 90.00
_cell_angle_gamma 90.00
loop_
_atom_site_label
_atom_site_fract_x
_atom_site_fract_y
_atom_site_fract_z
Tc1 0.000 0.000 0.000
Os1 0.500 0.500 0.500
Rh1 0.000 0.000 0.339
Rh2 0.000 0.000 0.661
Rh3 0.500 0.500 0.162
Rh4 0.500 0.500 0.838
```

SG: No. 123
Spin magnetization in μB per formula unit: 0.00
Energy of formation in eV/f.u.: -0.307
Energy in eV for the cell shown: -51.31
Relative energy among the computed polymorphs in meV/atom: 0



Q: What is the energy of formation in the first record?
A: -0.051 eV/f.u.



Q: Which value of energy does entry 8 give?
A: -51.31 eV for the cell shown